Record 1
Material: LiTa2Cl
Method: DFT, PBE
State: relaxed

Lattice parameters (Å, degrees): 2.926 2.926 7.422 90.00 90.00 90.00
Fractional coordinates of all 4 atoms:
1 Li 0.000 0.000 0.000
2 Ta 0.500 0.500 0.251
3 Ta 0.500 0.500 0.749
4 Cl 0.000 0.000 0.500

Properties
* D(E_F): 0.2475 states/eV per atom
* spin magnetization: 0.00 μB per atom
* raw total energy: -6.28 eV/atom

=====

Record 2
Material: SrSb3Te
Method: DFT, PBE
State: relaxed

Lattice parameters (Å, degrees): 6.003 6.003 6.003 90.00 90.00 90.00
Fractional coordinates of all 5 atoms:
1 Sr 0.000 0.000 0.000
2 Sb 0.000 0.000 0.500
3 Sb 0.000 0.500 0.000
4 Sb 0.500 0.000 0.000
5 Te 0.500 0.500 0.500

Properties
* D(E_F): 1.7568 states/eV per atom
* spin magnetization: 0.00 μB per atom
* raw total energy: -2.54 eV/atom

=====

Record 3
Material: ErRhO
Method: DFT, PBE
State: relaxed

Lattice parameters (Å, degrees): 5.238 3.196 5.266 90.00 90.00 90.00
Fractional coordinates of all 6 atoms:
1 Er 0.250 0.000 0.202
2 Er 0.750 0.000 0.798
3 Rh 0.250 0.500 0.650
4 Rh 0.750 0.500 0.350
5 O 0.000 0.500 0.000
6 O 0.500 0.500 0.000

Properties
* D(E_F): 0.3695 states/eV per atom
* spin magnetization: 0.00 μB per atom
* raw total energy: -7.37 eV/atom

=====

Record 4
Material: TbNdTmCu
Method: DFT, PBE
State: relaxed

Lattice parameters (Å, degrees): 3.511 3.511 8.693 90.00 90.00 90.00
Fractional coordinates of all 4 atoms:
1 Tb 0.000 0.000 0.000
2 Nd 0.500 0.500 0.311
3 Tm 0.000 0.000 0.616
4 Cu 0.500 0.500 0.800

Properties
* energy of formation from the pure elements: -107 meV/atom
* D(E_F): 0.9677 states/eV per atom
* spin magnetization: 0.00 μB per atom
* raw total energy: -4.60 eV/atom

=====

Record 5
Material: Ce2ZrSc
Method: DFT, PBE
State: relaxed

Lattice parameters (Å, degrees): 5.309 5.309 5.309 60.00 60.00 60.00
Fractional coordinates of all 4 atoms:
1 Ce 0.250 0.250 0.250
2 Ce 0.750 0.750 0.750
3 Zr 0.000 0.000 0.000
4 Sc 0.500 0.500 0.500

Properties
* energy of formation from the pure elements: 199 meV/atom
* D(E_F): 2.7923 states/eV per atom
* spin magnetization: 0.25 μB per atom
* raw total energy: -6.49 eV/atom

=====

Record 6
Material: MnZnBr2
Method: DFT, PBE
State: relaxed

Lattice parameters (Å, degrees): 6.926 6.926 6.926 117.30 117.30 94.75
Fractional coordinates of all 8 atoms:
1 Mn 0.000 0.000 0.000
2 Mn 0.750 0.250 0.500
3 Zn 0.250 0.750 0.500
4 Zn 0.500 0.500 0.000
5 Br 0.375 0.002 0.127
6 Br 0.752 0.625 0.627
7 Br 0.875 0.248 0.873
8 Br 0.998 0.125 0.373

Properties
* D(E_F): 1.3680 states/eV per atom
* spin magnetization: 0.00 μB per atom
* raw total energy: -3.12 eV/atom

=====

Record 7
Material: LaPmTmMg
Method: DFT, PBE
State: relaxed

Lattice parameters (Å, degrees): 5.616 5.616 5.616 60.00 60.00 60.00
Fractional coordinates of all 4 atoms:
1 La 0.000 0.000 0.000
2 Pm 0.500 0.500 0.500
3 Tm 0.250 0.250 0.250
4 Mg 0.750 0.750 0.750

Properties
* energy of formation from the pure elements: 4 meV/atom
* D(E_F): 1.1404 states/eV per atom
* spin magnetization: 0.00 μB per atom
* raw total energy: -3.93 eV/atom

=====

Record 8
Material: Rb4AcTb3Te8
Method: DFT, PBE
State: relaxed

Lattice parameters (Å, degrees): 10.100 10.100 10.100 54.59 54.59 54.59
Fractional coordinates of all 16 atoms:
1 Rb 0.000 0.000 0.000
2 Rb 0.000 0.500 0.500
3 Rb 0.500 0.000 0.500
4 Rb 0.500 0.500 0.000
5 Ac 0.500 0.500 0.500
6 Tb 0.000 0.000 0.500
7 Tb 0.000 0.500 0.000
8 Tb 0.500 0.000 0.000
9 Te 0.219 0.743 0.743
10 Te 0.233 0.233 0.233
11 Te 0.257 0.257 0.781
12 Te 0.257 0.781 0.257
13 Te 0.743 0.219 0.743
14 Te 0.743 0.743 0.219
15 Te 0.767 0.767 0.767
16 Te 0.781 0.257 0.257

Properties
* D(E_F): 0.0000 states/eV per atom
* spin magnetization: 0.00 μB per atom
* raw total energy: -4.34 eV/atom